No. 1
The following is a PBE calculation of a geometry-optimized ScAl3CuAg structure, from Alexandria via LeMat-Bulk.

a b c (Å): 6.9138 6.9138 5.7976
angles (deg): 90.00 90.00 130.19
Closest atoms and distances in Å follow each position.
Positions (direct):
1 Sc 0.1964 0.8036 0.7500  1 Cu 2.63, 2 Ag 2.94
2 Sc 0.8036 0.1964 0.2500  1 Cu 2.63, 2 Ag 2.94
3 Al 0.2210 0.2210 0.0000  2 Cu 2.48, 3 Al 2.57-2.77, 2 Ag 2.77
4 Al 0.2210 0.2210 0.5000  2 Cu 2.48, 3 Al 2.57-2.77, 2 Ag 2.77
5 Al 0.3637 0.6363 0.2500  1 Ag 2.58, 4 Al 2.77, 1 Cu 2.89
6 Al 0.6363 0.3637 0.7500  1 Ag 2.58, 4 Al 2.77, 1 Cu 2.89
7 Al 0.7790 0.7790 0.0000  2 Cu 2.48, 3 Al 2.57-2.77, 2 Ag 2.77
8 Al 0.7790 0.7790 0.5000  2 Cu 2.48, 3 Al 2.57-2.77, 2 Ag 2.77
9 Cu 0.4058 0.5942 0.7500  4 Al 2.48, 1 Sc 2.63
10 Cu 0.5942 0.4058 0.2500  4 Al 2.48, 1 Sc 2.63
11 Ag 0.1577 0.8423 0.2500  5 Al 2.58-2.77
12 Ag 0.8423 0.1577 0.7500  5 Al 2.58-2.77

- formation energy from the elements (eV per atom) = -0.112
- space group = Cmcm, No. 63


No. 2
The following is a PBE calculation of a geometry-optimized Tm6Si2Pb structure, from Alexandria via LeMat-Bulk.

a b c (Å): 8.4095 8.4095 8.4095
angles (deg): 112.43 110.87 105.20
Closest atoms and distances in Å follow each position.
Positions (direct):
1 Tm 0.0319 0.2407 0.7911  2 Si 2.90-3.14, 1 Pb 3.17
2 Tm 0.1864 0.2796 0.4660  3 Si 2.97-3.15, 1 Pb 3.16
3 Tm 0.1864 0.7204 0.9069  3 Si 2.97-3.15, 1 Pb 3.16
4 Tm 0.3199 0.0226 0.7027  3 Si 2.81-2.92
5 Tm 0.3199 0.6172 0.2973  3 Si 2.81-2.92
6 Tm 0.4496 0.2407 0.2089  2 Si 2.90-3.14, 1 Pb 3.17
7 Tm 0.5504 0.7593 0.7911  2 Si 2.90-3.14, 1 Pb 3.17
8 Tm 0.6801 0.3828 0.7027  3 Si 2.81-2.92
9 Tm 0.6801 0.9774 0.2973  3 Si 2.81-2.92
10 Tm 0.8136 0.2796 0.0931  3 Si 2.97-3.15, 1 Pb 3.16
11 Tm 0.8136 0.7204 0.5340  3 Si 2.97-3.15, 1 Pb 3.16
12 Tm 0.9681 0.7593 0.2089  2 Si 2.90-3.14, 1 Pb 3.17
13 Si 0.1163 0.6163 0.5000  1 Si 2.38
14 Si 0.3704 0.0000 0.3704  1 Si 2.47
15 Si 0.6296 0.0000 0.6296  1 Si 2.47
16 Si 0.8837 0.3837 0.5000  1 Si 2.38
17 Pb 0.0000 0.0000 0.0000  8 Tm 3.16-3.17, 2 Si 3.53
18 Pb 0.5000 0.5000 0.0000  12 Tm 3.31-3.63

- uncorrected formation energy (eV/atom) = -0.53
- space group = Immm, No. 71


No. 3
The following is a PBE calculation of a geometry-optimized KScSbTe2 structure, from Alexandria via LeMat-Bulk.

a b c (Å): 5.8401 5.8401 5.5546
angles (deg): 90.00 90.00 90.00
Closest atoms and distances in Å follow each position.
Positions (direct):
1 K 0.0000 0.0000 0.0000  2 Sb 2.78, 4 Te 2.92
2 Sc 0.5000 0.5000 0.5000  8 Te 4.03, 4 Sb 4.13
3 Sb 0.0000 0.0000 0.5000  2 K 2.78
4 Te 0.0000 0.5000 0.0000  2 K 2.92
5 Te 0.5000 0.0000 0.0000  2 K 2.92

- uncorrected formation energy (eV/atom) = 0.81
- E above lowest polymorph (eV/f.u.) = 6.86
- space group = P4/mmm, No. 123


No. 4
The following is a PBE calculation of a geometry-optimized ScZn2Ru structure, from Alexandria via LeMat-Bulk.

a b c (Å): 3.2554 3.2554 6.0915
angles (deg): 90.00 90.00 90.00
Closest atoms and distances in Å follow each position.
Positions (direct):
1 Sc 0.0000 0.0000 0.0000  4 Ru 2.70, 5 Zn 2.82-2.98
2 Zn 0.0000 0.0000 0.5372  4 Zn 2.68, 4 Ru 2.69, 1 Sc 2.82
3 Zn 0.5000 0.5000 0.3113  4 Zn 2.68, 1 Ru 2.78, 4 Sc 2.98
4 Ru 0.5000 0.5000 0.7672  5 Zn 2.69-2.78, 4 Sc 2.70

- formation energy from the elements (eV per atom) = -0.269
- space group = P4mm, No. 99


No. 5
The following is a PBE calculation of a geometry-optimized LaPm6Ho8 structure, from Alexandria via LeMat-Bulk.

a b c (Å): 8.7225 8.7225 8.7225
angles (deg): 62.85 62.85 62.85
Closest atoms and distances in Å follow each position.
Positions (direct):
1 La 0.0000 0.0000 0.0000  6 Pm 3.48, 6 Ho 3.57
2 Pm 0.1039 0.5361 0.2298  4 Ho 3.39-3.74, 1 La 3.48, 2 Pm 3.50
3 Pm 0.2298 0.1039 0.5361  4 Ho 3.39-3.74, 1 La 3.48, 2 Pm 3.50
4 Pm 0.4639 0.7702 0.8961  4 Ho 3.39-3.74, 1 La 3.48, 2 Pm 3.50
5 Pm 0.5361 0.2298 0.1039  4 Ho 3.39-3.74, 1 La 3.48, 2 Pm 3.50
6 Pm 0.7702 0.8961 0.4639  4 Ho 3.39-3.74, 1 La 3.48, 2 Pm 3.50
7 Pm 0.8961 0.4639 0.7702  4 Ho 3.39-3.74, 1 La 3.48, 2 Pm 3.50
8 Ho 0.1121 0.7165 0.7471  3 Pm 3.39-3.74, 5 Ho 3.42-3.47, 1 La 3.57
9 Ho 0.2529 0.8879 0.2835  3 Pm 3.39-3.74, 5 Ho 3.42-3.47, 1 La 3.57
10 Ho 0.2835 0.2529 0.8879  3 Pm 3.39-3.74, 5 Ho 3.42-3.47, 1 La 3.57
11 Ho 0.4233 0.4233 0.4233  4 Ho 3.21-3.43, 3 Pm 3.44
12 Ho 0.5767 0.5767 0.5767  4 Ho 3.21-3.43, 3 Pm 3.44
13 Ho 0.7165 0.7471 0.1121  3 Pm 3.39-3.74, 5 Ho 3.42-3.47, 1 La 3.57
14 Ho 0.7471 0.1121 0.7165  3 Pm 3.39-3.74, 5 Ho 3.42-3.47, 1 La 3.57
15 Ho 0.8879 0.2835 0.2529  3 Pm 3.39-3.74, 5 Ho 3.42-3.47, 1 La 3.57

- formation energy from the elements (eV per atom) = 0.129
- space group = R-3, No. 148


No. 6
The following is a PBE calculation of a geometry-optimized MgTl4In structure, from Alexandria via LeMat-Bulk.

a b c (Å): 6.4271 6.4271 6.4271
angles (deg): 60.00 60.00 60.00
Closest atoms and distances in Å follow each position.
Positions (direct):
1 Mg 0.0000 0.0000 0.0000  12 Tl 3.77, 4 In 3.94
2 Tl 0.1251 0.6250 0.6250  6 Tl 3.21
3 Tl 0.6250 0.1251 0.6250  6 Tl 3.21
4 Tl 0.6250 0.6250 0.1251  6 Tl 3.21
5 Tl 0.6250 0.6250 0.6250  6 Tl 3.21
6 In 0.2500 0.2500 0.2500  12 Tl 3.77, 4 Mg 3.94

- E above lowest polymorph (eV/f.u.) = 0.86
- formation energy from the elements (eV per atom) = 0.178
- space group = F-43m, No. 216


no.,total energy (Ry per atom)
1,-0.308
2,-0.377
3,-0.202
4,-0.353
5,-0.334
6,-0.156